32
Lattice="11.938 -3.283 0.000 11.938 3.283 0.000 -10.426 0.000 14.825" Properties=species:S:1:pos:R:3 comment="La5Pm2Pr | Alexandria | GGA-PBE | relaxed" e_form_ev_per_atom=0.08 magmom_total_mub_per_cell=0.00 n_ef_per_ev_atom=1.511 pbc="T T T"
La 4.767 2.920 9.481
La 3.470 2.920 12.757
La 0.518 0.221 4.999
La -1.075 0.906 11.656
La -4.695 -0.221 12.411
La 2.784 0.530 7.846
La 0.401 1.096 14.697
La 7.835 1.096 7.541
La 7.997 -0.530 0.433
La 4.138 -0.906 4.244
La 9.312 0.906 10.582
La 5.453 0.530 14.392
La 5.615 -1.096 7.285
La 13.048 -1.096 0.128
La 10.666 -0.530 6.980
La 18.144 0.221 2.414
La 14.525 -0.906 3.169
La 12.931 -0.221 9.826
La 9.980 -2.920 2.069
La 8.683 -2.920 5.344
Pm 4.688 0.570 0.897
Pm -0.525 -0.570 8.309
Pm 7.541 0.331 3.862
Pm 2.328 -0.331 11.274
Pm 11.121 0.331 3.551
Pm 5.908 -0.331 10.963
Pm 13.975 0.570 6.516
Pm 8.762 -0.570 13.928
Pr 5.165 2.330 5.672
Pr 13.498 2.330 1.741
Pr -0.048 -2.330 13.084
Pr 8.284 -2.330 9.153